(1)
Material: PmTl2Zn2Se4
Method: DFT, PBE
State: relaxed

Geometry as POSCAR:
```
PmTl2Zn2Se4
1.0
4.0881 0.0000 0.0000
0.0000 8.1970 0.6224
-2.0441 -2.6737 7.1651
Pm Tl Zn Se
1 2 2 4
Direct
0.0000 0.0000 0.0000
0.1313 0.5286 0.2627
0.8687 0.4714 0.7373
0.6694 0.9745 0.3387
0.3306 0.0255 0.6613
0.2028 0.1685 0.4056
0.7972 0.8315 0.5944
0.5208 0.7540 0.0417
0.4792 0.2460 0.9583
```

Space-group type = C2/m, No. 12
Density = 6.73 Mg/m³
E_form (uncorrected) = -803 meV/atom

---

(2)
Material: Pm3ZrTl3Se8
Method: DFT, PBE
State: relaxed

Geometry as POSCAR:
```
Pm3ZrTl3Se8
1.0
8.3856 0.0000 0.0000
-4.1928 7.2601 -0.0301
0.0000 -4.8102 7.8613
Pm Zr Tl Se
3 1 3 8
Direct
0.5000 0.0000 0.5000
0.5000 0.5000 0.5000
0.0000 0.5000 0.5000
0.0000 0.0000 0.5000
0.0000 0.0000 0.0000
0.0000 0.5000 0.0000
0.5000 0.5000 0.0000
0.2629 0.5259 0.2890
0.7371 0.4741 0.7110
0.7772 0.5544 0.2994
0.2228 0.4456 0.7006
0.7773 0.0220 0.2995
0.2227 0.9780 0.7005
0.2447 0.0220 0.2995
0.7553 0.9780 0.7005
```

Space-group type = R-3m, No. 166
Density = 6.16 Mg/m³
E_form (uncorrected) = -1367 meV/atom

---

(3)
Material: Pm3ZrTl4Se8
Method: DFT, PBE
State: relaxed

Geometry as POSCAR:
```
Pm3ZrTl4Se8
1.0
-2.9517 -4.8084 6.1773
8.5977 -2.0495 2.5125
-2.0436 8.1065 -0.3315
Pm Zr Tl Se
3 1 4 8
Direct
0.5000 0.5000 0.0000
0.5000 0.5000 0.5000
0.0000 0.5000 0.5000
0.0000 0.5000 0.0000
0.5000 0.0000 0.0000
0.5000 0.0000 0.5000
0.0000 0.0000 0.0000
0.0000 0.0000 0.5000
0.2259 0.7066 0.9808
0.2259 0.7066 0.4518
0.2618 0.2855 0.5236
0.7550 0.7066 0.9808
0.2450 0.2934 0.0192
0.7382 0.7145 0.4764
0.7741 0.2934 0.5482
0.7741 0.2934 0.0192
```

Space-group type = R-3m, No. 166
Density = 6.92 Mg/m³
E_form (uncorrected) = -1255 meV/atom

---

(4)
Material: PmTm3Se4
Method: DFT, PBE
State: relaxed

Geometry as POSCAR:
```
PmTm3Se4
1.0
-0.3634 5.6920 0.7482
-0.0762 -0.7545 5.7023
5.7405 0.3503 0.1231
Pm Tm Se
1 3 4
Direct
0.0000 0.0000 0.0000
0.0000 0.5000 0.5000
0.5000 0.0000 0.5000
0.5000 0.5000 0.0000
0.5000 0.0000 0.0000
0.0000 0.5000 0.0000
0.0000 0.0000 0.5000
0.5000 0.5000 0.5000
```

Space-group type = Pm-3m, No. 221
Density = 8.44 Mg/m³
Offset from the most stable computed form = 27 meV/atom
E_form (uncorrected) = -1671 meV/atom

---

(5)
Material: Pm2Tm3Se8
Method: DFT, PBE
State: relaxed

Geometry as POSCAR:
```
Pm2Tm3Se8
1.0
6.9822 0.0000 0.2091
0.0000 8.2143 0.0000
-2.5869 -4.1071 6.7066
Pm Tm Se
2 3 8
Direct
0.3366 0.2595 0.5190
0.6634 0.7405 0.4810
0.5000 0.0000 0.0000
0.0000 0.2604 0.0000
0.0000 0.7396 0.0000
0.9249 0.6201 0.2402
0.0751 0.3799 0.7598
0.9184 0.1143 0.2287
0.0816 0.8857 0.7713
0.5892 0.6433 0.7618
0.5892 0.1185 0.7618
0.4108 0.8815 0.2382
0.4108 0.3567 0.2382
```

Space-group type = C2/m, No. 12
Density = 6.10 Mg/m³
E_form (uncorrected) = -1725 meV/atom

---

(6)
Material: Pm5TmSe6
Method: DFT, PBE
State: relaxed

Geometry as POSCAR:
```
Pm5TmSe6
1.0
7.1211 0.1787 1.0846
1.7537 6.0521 3.5282
0.1194 0.0616 7.2256
Tm Se Pm
1 6 5
Direct
0.0000 0.0000 0.0000
0.7574 0.0812 0.3219
0.2426 0.5970 0.3219
0.2474 0.2401 0.0000
0.7526 0.7599 0.0000
0.7574 0.4030 0.6781
0.2426 0.9188 0.6781
0.5000 0.1735 0.6531
0.0000 0.3320 0.3360
0.5000 0.5000 0.0000
0.0000 0.6680 0.6640
0.5000 0.8265 0.3469
```

Space-group type = C2/m, No. 12
Density = 7.40 Mg/m³
E_form (uncorrected) = -1809 meV/atom

---

(7)
Material: Pm2TmSe
Method: DFT, PBE
State: relaxed

Geometry as POSCAR:
```
Pm2TmSe
1.0
-1.6555 2.9237 1.9159
-2.8677 2.0102 -1.6416
-7.9297 -4.4516 3.8450
Tm Se Pm
1 1 2
Direct
0.5000 0.5000 0.5000
0.0000 0.0000 0.0000
0.2668 0.2668 0.1997
0.7332 0.7332 0.8003
```

Space-group type = R-3m, No. 166
Density = 7.17 Mg/m³
E_form (uncorrected) = -764 meV/atom

---

(8)
Material: PmTm2Se4
Method: DFT, PBE
State: relaxed

Geometry as POSCAR:
```
PmTm2Se4
1.0
4.0669 0.0000 0.0000
0.0001 6.5997 -2.2312
-0.0001 0.0780 7.1336
Pm Tm Se
1 2 4
Direct
0.0000 0.0000 0.0000
0.0000 0.5000 0.5000
0.5000 0.0000 0.5000
0.5000 0.2617 0.2573
0.5000 0.7383 0.7427
0.0000 0.2449 0.7351
0.0000 0.7551 0.2649
```

Space-group type = P2/m, No. 10
Density = 6.90 Mg/m³
Offset from the most stable computed form = 0 meV/atom
E_form (uncorrected) = -1870 meV/atom